Entry 1:
Th2TcGe2 (PBE, optimized geometry); ΔE to the lowest computed polymorph = 24 meV per atom; E = -7.465 eV per atom; crystal system = monoclinic; M_tot = 0.00 μB per cell
1.0
4.2680 0.0000 0.0000
2.1340 5.5246 -0.3158
2.1340 0.3033 9.8403
Ge Th Tc
4 4 2
Direct
0.3786 0.1257 0.1171 Ge
0.9485 0.6810 0.4221 Ge
0.6214 0.8743 0.8829 Ge
0.0515 0.3190 0.5779 Ge
0.9008 0.3070 0.8913 Th
0.7047 0.2376 0.3530 Th
0.0992 0.6930 0.1087 Th
0.2953 0.7624 0.6470 Th
0.4460 0.8052 0.3028 Tc
0.5540 0.1948 0.6972 Tc


Entry 2:
AcPaHgAu (PBE, optimized geometry); E = -4.424 eV per atom; crystal system = cubic; M_tot = 2.12 μB per cell
1.0
-1.2674 -0.9096 -5.1794
-2.3235 -4.6689 -1.4361
-5.1841 -0.0792 -1.5421
Hg Pa Au Ac
1 1 1 1
Direct
0.7500 0.7500 0.7500 Hg
0.0000 0.0000 0.0000 Pa
0.2500 0.2500 0.2500 Au
0.5000 0.5000 0.5000 Ac


Entry 3:
SmLuIn2 (PBE, optimized geometry); ΔE to the lowest computed polymorph = 0 meV per atom; E = -4.125 eV per atom; crystal system = tetragonal; M_tot = 0.00 μB per cell
1.0
-2.2284 -2.5737 1.5850
1.5860 0.6808 3.3351
-5.1810 5.3329 1.3752
In Sm Lu
2 1 1
Direct
0.0000 0.0000 0.2360 In
0.0000 0.0000 0.7640 In
0.5000 0.5000 0.5000 Sm
0.5000 0.5000 0.0000 Lu


Entry 4:
Sn3Pb2Au4 (PBE, optimized geometry); E = -3.709 eV per atom; crystal system = orthorhombic; M_tot = 0.00 μB per cell
1.0
-3.0619 -2.1431 -5.4503
3.4669 -6.8037 0.7276
-5.0406 -1.7630 7.5316
Pb Au Sn
4 8 6
Direct
0.5864 0.8954 0.1728 Pb
0.0864 0.6046 0.1728 Pb
0.9136 0.3954 0.8272 Pb
0.4136 0.1046 0.8272 Pb
0.8240 0.2500 0.1479 Au
0.8314 0.0179 0.6628 Au
0.3240 0.2500 0.1479 Au
0.3314 0.4821 0.6628 Au
0.1760 0.7500 0.8521 Au
0.1686 0.9821 0.3372 Au
0.6686 0.5179 0.3372 Au
0.6760 0.7500 0.8521 Au
0.0000 0.0000 0.0000 Sn
0.4917 0.2500 0.4833 Sn
0.9917 0.2500 0.4833 Sn
0.5083 0.7500 0.5167 Sn
0.0083 0.7500 0.5167 Sn
0.5000 0.5000 0.0000 Sn


Entry 5:
Ac2TcGe (PBE, optimized geometry); E = -5.054 eV per atom; crystal system = trigonal; M_tot = 0.00 μB per cell
1.0
3.6594 0.0000 0.0000
1.8297 3.1691 0.0000
1.8297 1.0564 10.2596
Ge Tc Ac
1 1 2
Direct
0.5000 0.5000 0.5000 Ge
0.0000 0.0000 0.0000 Tc
0.0861 0.0861 0.7418 Ac
0.9139 0.9139 0.2582 Ac


Entry 6:
TlSeI6 (PBE, optimized geometry); formation energy without anion corrections = -74 kJ/mol of formula units; E = -1.989 eV per atom; crystal system = monoclinic; M_tot = 0.00 μB per cell
1.0
-6.6004 -1.2073 3.7534
-0.4596 -3.8298 -6.6508
-1.0269 -7.8319 1.3680
I Se Tl
6 1 1
Direct
0.6696 0.0203 0.3267 I
0.3133 0.3133 0.9928 I
0.0203 0.6696 0.3267 I
0.6867 0.6867 0.0072 I
0.9797 0.3304 0.6733 I
0.3304 0.9797 0.6733 I
0.0000 0.0000 0.0000 Se
0.5000 0.5000 0.5000 Tl


Entry 7:
LiZrMnAl (PBE, optimized geometry); E = -5.915 eV per atom; crystal system = cubic; M_tot = 3.04 μB per cell
1.0
4.4882 0.0000 0.0000
2.2441 3.8869 0.0000
2.2441 1.2956 3.6646
Al Zr Mn Li
1 1 1 1
Direct
0.0000 0.0000 0.0000 Al
0.5000 0.5000 0.5000 Zr
0.2500 0.2500 0.2500 Mn
0.7500 0.7500 0.7500 Li